Material: SbNO2F
Method: DFT, GGA-PBE
State: relaxed

Computed properties:
E_form (uncorrected), meV/atom: -5
Crystal system: tetragonal
Magnetization, Bohr magnetons per cell: 2.934
Space-group type: No. 123
DOS at the Fermi energy, states/eV/atom: 0.8011
Calculated total energy, eV/cell: -24.26

a = 3.896 Å, b = 3.896 Å, c = 4.227 Å
α = 90.00°, β = 90.00°, γ = 90.00°
Sites, in units of the cell vectors:
Sb1 0.000 0.000 0.000
N1 0.500 0.500 0.500
O1 0.000 0.500 0.000
O2 0.500 0.000 0.000
F1 0.000 0.000 0.500

---

Material: ScNOF2
Method: DFT, GGA-PBE
State: relaxed

Computed properties:
Distance to the lowest polymorph of the same formula, kJ per mole of atoms: 101.7
E_form (uncorrected), meV/atom: -314
Crystal system: tetragonal
Magnetization, Bohr magnetons per cell: 0.000
Space-group type: No. 123
DOS at the Fermi energy, states/eV/atom: 0.1080
Calculated total energy, eV/cell: -24.93

a = 3.724 Å, b = 3.724 Å, c = 3.729 Å
α = 90.00°, β = 90.00°, γ = 90.00°
Sites, in units of the cell vectors:
Sc1 0.000 0.000 0.000
N1 0.500 0.500 0.000
O1 0.500 0.500 0.500
F1 0.000 0.500 0.500
F2 0.500 0.000 0.500

---

Material: ScNOF2
Method: DFT, GGA-PBE
State: relaxed

Computed properties:
Distance to the lowest polymorph of the same formula, kJ per mole of atoms: 88.5
E_form (uncorrected), meV/atom: -451
Crystal system: tetragonal
Magnetization, Bohr magnetons per cell: 1.370
Space-group type: No. 123
DOS at the Fermi energy, states/eV/atom: 0.5205
Calculated total energy, eV/cell: -25.61

a = 3.742 Å, b = 3.742 Å, c = 3.804 Å
α = 90.00°, β = 90.00°, γ = 90.00°
Sites, in units of the cell vectors:
Sc1 0.000 0.000 0.000
N1 0.500 0.500 0.500
O1 0.500 0.500 0.000
F1 0.000 0.500 0.500
F2 0.500 0.000 0.500

---

Material: ScN2OF
Method: DFT, GGA-PBE
State: relaxed

Computed properties:
E_form (uncorrected), meV/atom: 848
Crystal system: tetragonal
Magnetization, Bohr magnetons per cell: 0.613
Space-group type: No. 123
DOS at the Fermi energy, states/eV/atom: 0.3521
Calculated total energy, eV/cell: -25.57

a = 3.402 Å, b = 3.402 Å, c = 4.473 Å
α = 90.00°, β = 90.00°, γ = 90.00°
Sites, in units of the cell vectors:
Sc1 0.000 0.000 0.000
N1 0.000 0.500 0.500
N2 0.500 0.000 0.500
O1 0.500 0.500 0.000
F1 0.500 0.500 0.500

---

Material: ScN2OF
Method: DFT, GGA-PBE
State: relaxed

Computed properties:
E_form (uncorrected), meV/atom: 468
Crystal system: tetragonal
Magnetization, Bohr magnetons per cell: 0.851
Space-group type: No. 123
DOS at the Fermi energy, states/eV/atom: 0.4153
Calculated total energy, eV/cell: -27.47

a = 3.446 Å, b = 3.446 Å, c = 4.157 Å
α = 90.00°, β = 90.00°, γ = 90.00°
Sites, in units of the cell vectors:
Sc1 0.000 0.000 0.000
N1 0.000 0.500 0.500
N2 0.500 0.000 0.500
O1 0.500 0.500 0.500
F1 0.500 0.500 0.000

---

Material: ScN2OF
Method: DFT, GGA-PBE
State: relaxed

Computed properties:
E_form (uncorrected), meV/atom: 481
Crystal system: tetragonal
Magnetization, Bohr magnetons per cell: 6.009
Space-group type: No. 123
DOS at the Fermi energy, states/eV/atom: 0.7825
Calculated total energy, eV/cell: -27.41

a = 4.409 Å, b = 4.409 Å, c = 4.059 Å
α = 90.00°, β = 90.00°, γ = 90.00°
Sites, in units of the cell vectors:
Sc1 0.000 0.000 0.000
N1 0.000 0.500 0.000
N2 0.500 0.000 0.000
O1 0.500 0.500 0.500
F1 0.000 0.000 0.500

---

Q: Which of these has the highest E_form (uncorrected)?
A: number 4